Computed, not measured: a relaxed AcLaAu crystal at the GGA-PBE level of DFT.

## Properties
- final energy (eV per atom) = -4.5914
- energy above the lowest structure with this stoichiometry (eV/atom) = 0.044
- ΔH_f (0 K) (eV/atom) = -0.4870

a b c (Å): 7.1214 7.1214 7.1214
angles (deg): 148.32 148.32 45.41
With the nearest neighbours (Å) after each atom.
Sites, in units of the cell vectors:
Ac 0.0000 0.0000 0.0000  4 Au 3.39, 1 La 3.70
La 0.7182 0.7182 0.0000  4 Au 3.24
Au 0.3490 0.3490 0.0000  4 La 3.24, 4 Ac 3.39



Computed, not measured: a relaxed AcLaAu crystal at the GGA-PBE level of DFT.

## Properties
- final energy (eV per atom) = -4.4637
- energy above the lowest structure with this stoichiometry (eV/atom) = 0.171
- ΔH_f (0 K) (eV/atom) = -0.3593

a b c (Å): 5.3354 5.3354 5.3354
angles (deg): 60.00 60.00 60.00
With the nearest neighbours (Å) after each atom.
Sites, in units of the cell vectors:
Ac 0.0000 0.0000 0.0000  4 Au 3.27
La 0.5000 0.5000 0.5000  4 Au 3.27
Au 0.7500 0.7500 0.7500  4 Ac 3.27, 4 La 3.27



Computed, not measured: a relaxed AcLa2Au3 crystal at the GGA-PBE level of DFT.

## Properties
- final energy (eV per atom) = -4.7436
- energy above the lowest structure with this stoichiometry (eV/atom) = 0.000
- ΔH_f (0 K) (eV/atom) = -0.7777

a b c (Å): 3.8205 3.8205 11.4886
angles (deg): 90.00 90.00 90.00
With the nearest neighbours (Å) after each atom.
Sites, in units of the cell vectors:
Ac 0.0000 0.0000 0.0000  8 Au 3.39
La 0.0000 0.0000 0.3364  8 Au 3.26-3.29
La 0.0000 0.0000 0.6636  8 Au 3.26-3.29
Au 0.5000 0.5000 0.1778  4 La 3.26, 4 Ac 3.39
Au 0.5000 0.5000 0.5000  8 La 3.29
Au 0.5000 0.5000 0.8222  4 La 3.26, 4 Ac 3.39



Computed, not measured: a relaxed Ac2LaAu crystal at the GGA-PBE level of DFT.

## Properties
- final energy (eV per atom) = -4.4019
- energy above the lowest structure with this stoichiometry (eV/atom) = 0.099
- ΔH_f (0 K) (eV/atom) = -0.2965

a b c (Å): 6.9005 6.9005 7.5382
angles (deg): 104.72 104.72 58.00
With the nearest neighbours (Å) after each atom.
Sites, in units of the cell vectors:
Ac 0.1874 0.1989 0.0941  2 Au 3.18-3.19
Ac 0.1989 0.1874 0.5941  2 Au 3.18-3.19
Ac 0.8011 0.8126 0.4059  2 Au 3.18-3.19
Ac 0.8126 0.8011 0.9059  2 Au 3.18-3.19
La 0.3625 0.6375 0.7500  1 Au 3.00
La 0.6375 0.3625 0.2500  1 Au 3.00
Au 0.1890 0.8110 0.2500  1 La 3.00, 4 Ac 3.18-3.19
Au 0.8110 0.1890 0.7500  1 La 3.00, 4 Ac 3.18-3.19



Computed, not measured: a relaxed Ac2LaAu crystal at the GGA-PBE level of DFT.

## Properties
- final energy (eV per atom) = -4.5006
- energy above the lowest structure with this stoichiometry (eV/atom) = 0.000
- ΔH_f (0 K) (eV/atom) = -0.3952

a b c (Å): 7.6133 10.8280 7.1516
angles (deg): 90.00 90.00 90.00
With the nearest neighbours (Å) after each atom.
Sites, in units of the cell vectors:
Ac 0.1919 0.0600 0.1665  2 Au 3.20-3.21
Ac 0.1919 0.4400 0.1665  2 Au 3.20-3.21
Ac 0.3081 0.5600 0.6665  2 Au 3.20-3.21
Ac 0.3081 0.9400 0.6665  2 Au 3.20-3.21
Ac 0.6919 0.0600 0.3335  2 Au 3.20-3.21
Ac 0.6919 0.4400 0.3335  2 Au 3.20-3.21
Ac 0.8081 0.5600 0.8335  2 Au 3.20-3.21
Ac 0.8081 0.9400 0.8335  2 Au 3.20-3.21
La 0.0234 0.2500 0.6488  2 Au 3.12
La 0.4766 0.7500 0.1488  2 Au 3.12
La 0.5234 0.2500 0.8512  2 Au 3.12
La 0.9766 0.7500 0.3512  2 Au 3.12
Au 0.1161 0.7500 0.9408  2 La 3.12, 4 Ac 3.20-3.21
Au 0.3839 0.2500 0.4408  2 La 3.12, 4 Ac 3.20-3.21
Au 0.6161 0.7500 0.5592  2 La 3.12, 4 Ac 3.20-3.21
Au 0.8839 0.2500 0.0592  2 La 3.12, 4 Ac 3.20-3.21



Computed, not measured: a relaxed AcLa3Au2 crystal at the GGA-PBE level of DFT.

## Properties
- final energy (eV per atom) = -4.7891
- energy above the lowest structure with this stoichiometry (eV/atom) = 0.000
- ΔH_f (0 K) (eV/atom) = -0.5482

a b c (Å): 4.0655 10.2434 9.4230
angles (deg): 90.00 90.00 90.00
With the nearest neighbours (Å) after each atom.
Sites, in units of the cell vectors:
Ac 0.0000 0.0791 0.0000  4 Au 3.29-3.33
Ac 0.0000 0.9209 0.5000  4 Au 3.29-3.33
La 0.0000 0.2841 0.6474  3 Au 3.06-3.10
La 0.0000 0.7159 0.1474  3 Au 3.06-3.10
La 0.5000 0.2223 0.3305  3 Au 3.03-3.18
La 0.5000 0.4279 0.9832  4 Au 3.23-3.33
La 0.5000 0.5721 0.4832  4 Au 3.23-3.33
La 0.5000 0.7777 0.8305  3 Au 3.03-3.18
Au 0.0000 0.4333 0.2635  7 La 3.03-3.33
Au 0.0000 0.5667 0.7635  7 La 3.03-3.33
Au 0.5000 0.0711 0.7206  3 La 3.06-3.18, 4 Ac 3.29-3.33
Au 0.5000 0.9289 0.2206  3 La 3.06-3.18, 4 Ac 3.29-3.33